Entry 1:
Ba2CdBi | PBE | relaxed

extended XYZ file:
```
4
Lattice="0.000 4.301 4.301 4.301 0.000 4.301 4.301 4.301 0.000" Properties=species:S:1:pos:R:3 pbc="T T T"
Ba 2.150 2.150 2.150
Ba 6.451 6.451 6.451
Cd 0.000 0.000 0.000
Bi 4.301 4.301 4.301
```

## Properties
offset from the most stable computed form: 0.019 eV per atom
N(E_F): 4.61 states/eV/f.u.
volume: 159.1 Å³/f.u.
electronic total energy: -2.7775 eV per atom
crystal system: cubic
density: 6.2 g/cm3

***

Entry 2:
BaCd4Bi | PBE | relaxed

extended XYZ file:
```
6
Lattice="0.000 4.426 4.426 4.426 0.000 4.426 4.426 4.426 0.000" Properties=species:S:1:pos:R:3 pbc="T T T"
Ba 0.000 0.000 0.000
Cd 5.520 3.332 3.332
Cd 3.332 5.520 3.332
Cd 3.332 3.332 5.520
Cd 5.520 5.520 5.520
Bi 2.213 2.213 2.213
```

## Properties
N(E_F): 3.70 states/eV/f.u.
volume: 173.4 Å³/f.u.
electronic total energy: -1.7623 eV per atom
crystal system: cubic
density: 7.6 g/cm3

***

Entry 3:
BaCd3Bi3 | PBE | relaxed

extended XYZ file:
```
14
Lattice="8.219 0.000 0.000 0.000 8.219 0.000 0.000 0.000 8.219" Properties=species:S:1:pos:R:3 pbc="T T T"
Ba 0.000 0.000 0.000
Ba 4.109 4.109 4.109
Cd 0.000 2.055 4.109
Cd 0.000 6.164 4.109
Cd 2.055 4.109 0.000
Cd 4.109 0.000 2.055
Cd 4.109 0.000 6.164
Cd 6.164 4.109 0.000
Bi 0.000 4.109 2.055
Bi 0.000 4.109 6.164
Bi 2.055 0.000 4.109
Bi 4.109 2.055 0.000
Bi 4.109 6.164 0.000
Bi 6.164 0.000 4.109
```

## Properties
offset from the most stable computed form: 0.126 eV per atom
N(E_F): 3.14 states/eV/f.u.
volume: 277.6 Å³/f.u.
electronic total energy: -2.4408 eV per atom
crystal system: cubic
density: 6.6 g/cm3

***

Entry 4:
BaCd2Bi | PBE | relaxed

extended XYZ file:
```
8
Lattice="2.470 -6.525 0.000 2.470 6.525 0.000 0.000 0.000 9.052" Properties=species:S:1:pos:R:3 pbc="T T T"
Ba 2.470 5.987 6.789
Ba 2.470 -5.987 2.263
Cd 2.470 2.700 0.808
Cd 2.470 2.700 3.717
Cd 2.470 -2.700 5.334
Cd 2.470 -2.700 8.243
Bi 2.470 2.110 6.789
Bi 2.470 -2.110 2.263
```

## Properties
N(E_F): 1.57 states/eV/f.u.
volume: 145.9 Å³/f.u.
electronic total energy: -2.1614 eV per atom
crystal system: orthorhombic
density: 6.5 g/cm3

***

Entry 5:
BaCd10Bi | PBE | relaxed

extended XYZ file:
```
12
Lattice="4.967 0.000 0.000 0.000 6.095 0.000 0.000 0.000 10.516" Properties=species:S:1:pos:R:3 pbc="T T T"
Ba 0.000 0.000 0.000
Cd 0.000 0.000 3.645
Cd 0.000 0.000 6.872
Cd 0.000 3.048 2.008
Cd 0.000 3.048 8.508
Cd 2.484 0.000 5.258
Cd 2.484 1.465 2.523
Cd 2.484 1.465 7.993
Cd 2.484 3.048 0.000
Cd 2.484 4.631 2.523
Cd 2.484 4.631 7.993
Bi 0.000 3.048 5.258
```

## Properties
N(E_F): 4.18 states/eV/f.u.
volume: 318.4 Å³/f.u.
electronic total energy: -1.3126 eV per atom
crystal system: orthorhombic
density: 7.7 g/cm3

***

Entry 6:
Ba2CdBi4 | PBE | relaxed

extended XYZ file:
```
7
Lattice="-3.478 3.478 5.425 3.478 -3.478 5.425 3.478 3.478 -5.425" Properties=species:S:1:pos:R:3 pbc="T T T"
Ba 3.478 0.000 0.000
Ba 0.000 3.478 0.000
Cd 0.000 0.000 0.000
Bi 1.739 1.739 -2.713
Bi 1.739 -1.739 2.713
Bi -1.739 1.739 2.713
Bi 1.739 1.739 2.713
```

## Properties
offset from the most stable computed form: 0.000 eV per atom
N(E_F): 4.41 states/eV/f.u.
volume: 262.5 Å³/f.u.
electronic total energy: -3.3584 eV per atom
crystal system: tetragonal
density: 7.7 g/cm3

***

Entry 7:
Ba3CdBi | PBE | relaxed

extended XYZ file:
```
5
Lattice="6.768 0.000 0.000 0.000 6.768 0.000 0.000 0.000 6.768" Properties=species:S:1:pos:R:3 pbc="T T T"
Ba 0.000 0.000 3.384
Ba 0.000 3.384 0.000
Ba 3.384 0.000 0.000
Cd 3.384 3.384 3.384
Bi 0.000 0.000 0.000
```

## Properties
offset from the most stable computed form: 0.276 eV per atom
N(E_F): 6.61 states/eV/f.u.
volume: 310.0 Å³/f.u.
electronic total energy: -2.3523 eV per atom
crystal system: cubic
density: 3.9 g/cm3

***

Entry 8:
Ba2Cd15Bi2 | PBE | relaxed

extended XYZ file:
```
19
Lattice="5.321 3.072 5.075 -5.321 3.072 5.075 0.000 -6.144 5.075" Properties=species:S:1:pos:R:3 pbc="T T T"
Ba 0.000 0.000 2.411
Ba 0.000 0.000 12.813
Cd -2.661 -1.536 5.075
Cd 0.000 -3.185 4.868
Cd -2.758 1.592 4.868
Cd -1.633 -2.828 7.612
Cd -3.266 0.000 7.612
Cd -2.758 -1.592 10.356
Cd -2.661 1.536 10.149
Cd 1.633 -2.828 7.612
Cd 0.000 3.072 5.075
Cd -1.633 2.828 7.612
Cd 2.758 1.592 4.868
Cd 3.266 0.000 7.612
Cd 1.633 2.828 7.612
Cd 2.758 -1.592 10.356
Cd 0.000 3.185 10.356
Bi 0.000 0.000 5.986
Bi 0.000 0.000 9.238
```

## Properties
N(E_F): 8.64 states/eV/f.u.
volume: 497.7 Å³/f.u.
electronic total energy: -1.5086 eV per atom
crystal system: trigonal
density: 7.9 g/cm3

***

Entry 9:
Ba2CdBi2 | PBE | relaxed

extended XYZ file:
```
10
Lattice="8.841 0.000 0.000 0.000 8.841 0.000 0.000 0.000 5.091" Properties=species:S:1:pos:R:3 pbc="T T T"
Ba 1.568 2.853 0.000
Ba 2.853 7.273 0.000
Ba 5.988 1.568 0.000
Ba 7.273 5.988 0.000
Cd 0.000 0.000 2.545
Cd 4.420 4.420 2.545
Bi 1.086 5.506 2.545
Bi 3.334 1.086 2.545
Bi 5.506 7.755 2.545
Bi 7.755 3.334 2.545
```

## Properties
N(E_F): 2.15 states/eV/f.u.
volume: 199.0 Å³/f.u.
electronic total energy: -3.1418 eV per atom
crystal system: tetragonal
density: 6.7 g/cm3

***

Entry 10:
BaCdBi3 | PBE | relaxed

extended XYZ file:
```
5
Lattice="6.427 0.000 0.000 0.000 6.427 0.000 0.000 0.000 6.427" Properties=species:S:1:pos:R:3 pbc="T T T"
Ba 0.000 0.000 0.000
Cd 3.213 3.213 3.213
Bi 0.000 0.000 3.213
Bi 0.000 3.213 0.000
Bi 3.213 0.000 0.000
```

## Properties
offset from the most stable computed form: 1.144 eV per atom
N(E_F): 3.81 states/eV/f.u.
volume: 265.4 Å³/f.u.
electronic total energy: -2.1032 eV per atom
crystal system: cubic
density: 5.5 g/cm3

***

Entry 11:
Ba2CdBi2 | PBE | relaxed

extended XYZ file:
```
20
Lattice="10.446 0.000 0.000 0.000 8.882 0.000 -0.323 0.000 8.798" Properties=species:S:1:pos:R:3 pbc="T T T"
Ba 0.978 2.206 0.033
Ba 0.816 2.235 4.432
Ba 3.378 6.296 8.666
Ba 3.540 7.028 4.267
Ba 6.583 1.855 4.531
Ba 6.745 2.587 0.132
Ba 9.306 6.647 4.367
Ba 9.145 6.676 8.766
Cd 3.681 0.775 7.223
Cd 3.842 3.667 2.824
Cd 6.280 5.216 5.974
Cd 6.442 8.108 1.575
Bi 1.297 5.064 2.212
Bi 1.136 8.259 6.612
Bi 3.866 0.832 1.787
Bi 3.705 3.609 6.186
Bi 6.418 5.273 2.612
Bi 6.256 8.051 7.011
Bi 8.987 0.623 2.187
Bi 8.826 3.818 6.586
```

## Properties
N(E_F): 0.20 states/eV/f.u.
volume: 204.1 Å³/f.u.
electronic total energy: -3.2493 eV per atom
crystal system: monoclinic
density: 6.6 g/cm3

***

Entry 12:
BaCdBi3 | PBE | relaxed

extended XYZ file:
```
10
Lattice="7.091 0.000 0.000 0.000 7.137 0.000 0.000 0.000 7.097" Properties=species:S:1:pos:R:3 pbc="T T T"
Ba 0.000 1.580 0.000
Ba 3.546 5.557 3.549
Cd 0.000 4.466 4.839
Cd 3.546 2.671 1.290
Bi 0.000 6.521 2.712
Bi 1.768 2.065 3.798
Bi 1.777 5.072 0.250
Bi 3.546 0.616 6.260
Bi 5.314 5.072 0.250
Bi 5.323 2.065 3.798
```

## Properties
offset from the most stable computed form: 0.000 eV per atom
N(E_F): 1.97 states/eV/f.u.
volume: 179.6 Å³/f.u.
electronic total energy: -3.2475 eV per atom
crystal system: orthorhombic
density: 8.1 g/cm3